Material: Rb2MgTl3Pb4
Method: DFT, PBE
State: optimized geometry

Unit cell a=4.9909 b=4.9909 c=14.4646 alpha=90.00 beta=90.00 gamma=90.00
Fractional positions:
Tl 0.5000 0.0000 0.8529
Mg 0.5000 0.5000 0.5000
Pb 0.0000 0.5000 0.3712
Tl 0.0000 0.0000 0.5000
Rb 0.5000 0.0000 0.2562
Pb 0.5000 0.5000 0.0000
Pb 0.0000 0.0000 0.0000
Rb 0.0000 0.5000 0.7438
Tl 0.0000 0.5000 0.1471
Pb 0.5000 0.0000 0.6288

Properties
**Energy**: -2.61 eV/atom
**Energy of formation from the pure elements**: -62.1 meV/atom
**Spin magnetization**: 0.0 Bohr magnetons per cell
**Space group**: P-4m2, No. 115

Material: RbMgTlPb2
Method: DFT, PBE
State: optimized geometry

Unit cell a=5.1521 b=5.1521 c=7.6041 alpha=109.80 beta=109.80 gamma=90.00
Fractional positions:
Tl 0.2500 0.7500 0.5000
Mg 0.7500 0.2500 0.5000
Pb 0.3834 0.3834 0.7668
Pb 0.6166 0.6166 0.2332
Rb 0.0000 0.0000 0.0000

Properties
**Energy**: -2.53 eV/atom
**Energy of formation from the pure elements**: -62.2 meV/atom
**Spin magnetization**: 0.0 Bohr magnetons per cell
**Space group**: I-4m2, No. 119

Material: RbMgTl2Pb
Method: DFT, PBE
State: optimized geometry

Unit cell a=5.7500 b=5.7500 c=5.6652 alpha=90.00 beta=90.00 gamma=90.00
Fractional positions:
Pb 0.0000 0.0000 0.5000
Rb 0.5000 0.5000 0.5000
Tl 0.0000 0.5000 0.0000
Tl 0.5000 0.0000 0.0000
Mg 0.0000 0.0000 0.0000

Properties
**E above lowest polymorph**: 2.789 kcal/mol of atoms
**Energy**: -2.12 eV/atom
**Energy of formation from the pure elements**: 78.3 meV/atom
**Spin magnetization**: 0.0 Bohr magnetons per cell
**Space group**: P4/mmm, No. 123

Material: RbMgTlPb
Method: DFT, PBE
State: optimized geometry

Unit cell a=5.7018 b=5.7018 c=5.7018 alpha=60.00 beta=60.00 gamma=60.00
Fractional positions:
Mg 0.7500 0.7500 0.7500
Tl 0.2500 0.2500 0.2500
Rb 0.0000 0.0000 0.0000
Pb 0.5000 0.5000 0.5000

Properties
**Energy**: -2.11 eV/atom
**Energy of formation from the pure elements**: 44.9 meV/atom
**Spin magnetization**: 0.0 Bohr magnetons per cell
**Space group**: F-43m, No. 216

Material: MgRe2Pb
Method: DFT, PBE
State: optimized geometry

Unit cell a=5.1591 b=5.1591 c=2.9826 alpha=90.00 beta=90.00 gamma=115.56
Fractional positions:
Mg 0.5000 0.0000 0.5000
Re 0.5000 0.5000 0.0000
Re 0.0000 0.0000 0.0000
Pb 0.0000 0.5000 0.5000

Properties
**E above lowest polymorph**: 17.050 kcal/mol of atoms
**Energy**: -6.58 eV/atom
**Energy of formation from the pure elements**: 972.8 meV/atom
**Spin magnetization**: 0.0 Bohr magnetons per cell
**Space group**: Cmmm, No. 65

Material: MgRe2Pb
Method: DFT, PBE
State: optimized geometry

Unit cell a=3.0891 b=3.0983 c=8.5509 alpha=80.05 beta=90.00 gamma=90.00
Fractional positions:
Mg 0.0000 0.7278 0.4389
Re 0.0000 0.9095 0.0546
Pb 0.5000 0.5303 0.7889
Re 0.5000 0.3324 0.2176

Properties
**E above lowest polymorph**: 0.000 kcal/mol of atoms
**Energy**: -7.32 eV/atom
**Energy of formation from the pure elements**: 233.5 meV/atom
**Spin magnetization**: 0.0 Bohr magnetons per cell
**Space group**: Pm, No. 6